# BaLaZnSn

A relaxed BaLaZnSn crystal (PBE, Alexandria via LeMat-Bulk).

abc: 5.6868 5.6868 5.6868
angles: 60.00 60.00 60.00
With the nearest neighbours (Å) after each atom.
Atoms (fractional coordinates):
Sn: 0.0000 0.0000 0.0000  4 Ba 3.48, 4 La 3.48
La: 0.7500 0.7500 0.7500  4 Zn 3.48, 4 Sn 3.48
Zn: 0.5000 0.5000 0.5000  4 Ba 3.48, 4 La 3.48
Ba: 0.2500 0.2500 0.2500  4 Sn 3.48, 4 Zn 3.48

Calculated values
ΔH_f (0 K) = -0.404 eV per atom
M_tot = 0.00 μB/atom
Space group = No. 216



# Ca2Zr2Rh

A relaxed Ca2Zr2Rh crystal (PBE, Alexandria via LeMat-Bulk).

abc: 6.8277 6.8277 5.6339
angles: 90.00 90.00 90.00
With the nearest neighbours (Å) after each atom.
Atoms (fractional coordinates):
Rh: 0.0000 0.0000 0.0000  4 Zr 2.60
Rh: 0.5000 0.5000 0.0000  4 Zr 2.60
Zr: 0.8490 0.6510 0.0000  2 Rh 2.60
Ca: 0.6757 0.8243 0.5000  6 Zr 3.28-3.60, 5 Ca 3.39-3.56
Zr: 0.1510 0.3490 0.0000  2 Rh 2.60
Ca: 0.3243 0.1757 0.5000  6 Zr 3.28-3.60, 5 Ca 3.39-3.56
Zr: 0.6510 0.1510 0.0000  2 Rh 2.60
Ca: 0.1757 0.6757 0.5000  6 Zr 3.28-3.60, 5 Ca 3.39-3.56
Ca: 0.8243 0.3243 0.5000  6 Zr 3.28-3.60, 5 Ca 3.39-3.56
Zr: 0.3490 0.8490 0.0000  2 Rh 2.60

Calculated values
ΔH_f (0 K) = -0.008 eV per atom
M_tot = 0.00 μB/atom
Space group = No. 127



# Mn2IrSe

A relaxed Mn2IrSe crystal (PBE, Alexandria via LeMat-Bulk).

abc: 3.0614 4.5355 4.2584
angles: 90.00 90.00 90.00
With the nearest neighbours (Å) after each atom.
Atoms (fractional coordinates):
Ir: 0.0000 0.5000 0.5000  4 Mn 2.62, 4 Se 2.74
Mn: 0.5000 0.5000 0.0000  4 Ir 2.62, 4 Mn 2.74
Se: 0.5000 0.0000 0.5000  4 Mn 2.62, 4 Ir 2.74
Mn: 0.0000 0.0000 0.0000  4 Se 2.62, 4 Mn 2.74

Calculated values
M_tot = 1.71 μB/atom
Space group = No. 47
Formation energy without anion corrections = 0.259 eV/atom